Record 1
The following is a PBE calculation of a relaxed TbDy2PaS4 crystal, from Alexandria.

Properties
Raw total energy, eV for the cell shown: -54.9
DOS at the Fermi energy, states/eV per atom: 0.6621

```
data_TbDy2PaS4
_cell_length_a 6.772
_cell_length_b 3.878
_cell_length_c 6.783
_cell_angle_alpha 90.00
_cell_angle_beta 109.05
_cell_angle_gamma 90.00
_symmetry_space_group_name_H-M 'P 1 2/m 1'
_symmetry_Int_Tables_number 10
loop_
_symmetry_equiv_pos_as_xyz
'x,y,z'
'-x,-y,-z'
'-x,y,-z'
'x,-y,z'
loop_
_atom_site_label
_atom_site_type_symbol
_atom_site_fract_x
_atom_site_fract_y
_atom_site_fract_z
Tb1 Tb 0.000 0.000 0.000
Dy1 Dy 0.000 0.500 0.500
Dy2 Dy 0.500 0.000 0.500
Pa1 Pa 0.500 0.500 0.000
S1 S 0.248 0.000 0.747
S2 S 0.251 0.500 0.252
```



Record 2
The following is a PBE calculation of a relaxed BaCa2MgH crystal, from Alexandria.

Properties
Raw total energy, eV for the cell shown: -11.5
DOS at the Fermi energy, states/eV per atom: 0.9651

```
data_BaCa2MgH
_cell_length_a 5.260
_cell_length_b 5.260
_cell_length_c 5.605
_cell_angle_alpha 90.00
_cell_angle_beta 90.00
_cell_angle_gamma 90.00
_symmetry_space_group_name_H-M 'P 4/m m m'
_symmetry_Int_Tables_number 123
_symmetry_space_group_name_Hall '-P 4 2'
loop_
_atom_site_label
_atom_site_type_symbol
_atom_site_fract_x
_atom_site_fract_y
_atom_site_fract_z
Ba1 Ba 0.000 0.000 0.000
Ca1 Ca 0.000 0.500 0.500
Mg1 Mg 0.500 0.500 0.000
H1 H 0.000 0.000 0.500
```



Record 3
The following is a PBE calculation of a relaxed Tb5Nd4Sc3 crystal, from Alexandria.

Properties
DOS at the Fermi energy, states/eV per atom: 1.6453
Energy of formation, eV/atom: 0.206

```
data_Tb5Nd4Sc3
_cell_length_a 16.050
_cell_length_b 5.796
_cell_length_c 9.245
_cell_angle_alpha 90.00
_cell_angle_beta 117.48
_cell_angle_gamma 90.00
_symmetry_space_group_name_H-M 'C 1 2/m 1'
_symmetry_Int_Tables_number 12
loop_
_symmetry_equiv_pos_as_xyz
'x,y,z'
'-x,-y,-z'
'-x,y,-z'
'x,-y,z'
'x+1/2,y+1/2,z'
'-x+1/2,-y+1/2,-z'
'-x+1/2,y+1/2,-z'
'x+1/2,-y+1/2,z'
loop_
_atom_site_label
_atom_site_type_symbol
_atom_site_fract_x
_atom_site_fract_y
_atom_site_fract_z
Tb1 Tb 0.000 0.000 0.000
Tb2 Tb 0.071 0.500 0.713
Tb3 Tb 0.172 0.500 0.378
Nd1 Nd 0.085 0.000 0.447
Nd2 Nd 0.219 0.000 0.881
Sc1 Sc 0.000 0.500 0.000
Sc2 Sc 0.216 0.000 0.236
```